Rb8As2H | PBE | optimized geometry

Values from the calculation:
Magnetic moment: 0.000 μB per cell
D(E_F): 3.43 states/eV/cell
Relative energy among the computed polymorphs: 0.31 kcal/mol of atoms
E_tot: -22.066 eV for the cell shown

The structure in CIF format:
```
data_Rb8As2H
_chemical_formula_sum 'Rb8 As2 H1'
_symmetry_space_group_name_H-M 'P 1'
_symmetry_Int_Tables_number 1
_cell_length_a 9.925
_cell_length_b 9.925
_cell_length_c 10.529
_cell_angle_alpha 98.84
_cell_angle_beta 98.84
_cell_angle_gamma 35.83
loop_
_symmetry_equiv_pos_as_xyz
'x,y,z'
loop_
_atom_site_label
_atom_site_type_symbol
_atom_site_fract_x
_atom_site_fract_y
_atom_site_fract_z
Rb1 Rb 0.070 0.070 0.231
Rb2 Rb 0.212 0.212 0.579
Rb3 Rb 0.296 0.296 0.936
Rb4 Rb 0.422 0.422 0.336
Rb5 Rb 0.578 0.578 0.664
Rb6 Rb 0.704 0.704 0.064
Rb7 Rb 0.788 0.788 0.421
Rb8 Rb 0.930 0.930 0.769
As1 As 0.247 0.247 0.251
As2 As 0.753 0.753 0.749
H1 H 0.000 0.000 0.500
```

Rb4AsH | PBE | optimized geometry

Values from the calculation:
Magnetic moment: 0.000 μB per cell
E_tot: -26.220 eV for the cell shown

The structure in CIF format:
```
data_Rb4AsH
_chemical_formula_sum 'Rb8 As2 H2'
_symmetry_space_group_name_H-M 'P 1'
_symmetry_Int_Tables_number 1
_cell_length_a 9.836
_cell_length_b 9.836
_cell_length_c 7.698
_cell_angle_alpha 109.01
_cell_angle_beta 109.01
_cell_angle_gamma 116.50
loop_
_symmetry_equiv_pos_as_xyz
'x,y,z'
loop_
_atom_site_label
_atom_site_type_symbol
_atom_site_fract_x
_atom_site_fract_y
_atom_site_fract_z
Rb1 Rb 0.064 0.651 0.874
Rb2 Rb 0.237 0.293 0.739
Rb3 Rb 0.293 0.237 0.239
Rb4 Rb 0.349 0.936 0.626
Rb5 Rb 0.651 0.064 0.374
Rb6 Rb 0.707 0.763 0.761
Rb7 Rb 0.763 0.707 0.261
Rb8 Rb 0.936 0.349 0.126
As1 As 0.369 0.631 0.250
As2 As 0.631 0.369 0.750
H1 H 0.076 0.924 0.750
H2 H 0.924 0.076 0.250
```

Rb2AsH4 | PBE | optimized geometry

Values from the calculation:
Magnetic moment: 0.000 μB per cell
D(E_F): 1.00 states/eV/cell
Relative energy among the computed polymorphs: 0.65 kcal/mol of atoms
E_tot: -19.482 eV for the cell shown

The structure in CIF format:
```
data_Rb2AsH4
_chemical_formula_sum 'Rb2 As1 H4'
_symmetry_space_group_name_H-M 'P 1'
_symmetry_Int_Tables_number 1
_cell_length_a 8.457
_cell_length_b 8.457
_cell_length_c 8.457
_cell_angle_alpha 152.09
_cell_angle_beta 152.09
_cell_angle_gamma 39.88
loop_
_symmetry_equiv_pos_as_xyz
'x,y,z'
loop_
_atom_site_label
_atom_site_type_symbol
_atom_site_fract_x
_atom_site_fract_y
_atom_site_fract_z
Rb1 Rb 0.135 0.135 0.000
Rb2 Rb 0.865 0.865 0.000
As1 As 0.500 0.500 0.000
H1 H 0.000 0.500 0.500
H2 H 0.379 0.379 0.000
H3 H 0.500 0.000 0.500
H4 H 0.621 0.621 0.000
```

RbAsH | PBE | optimized geometry

Values from the calculation:
Magnetic moment: 0.000 μB per cell
D(E_F): 2.66 states/eV/cell
Relative energy among the computed polymorphs: 2.34 kcal/mol of atoms
E_tot: -38.072 eV for the cell shown

The structure in CIF format:
```
data_RbAsH
_chemical_formula_sum 'Rb4 As4 H4'
_symmetry_space_group_name_H-M 'P 1'
_symmetry_Int_Tables_number 1
_cell_length_a 8.375
_cell_length_b 5.144
_cell_length_c 9.140
_cell_angle_alpha 90.00
_cell_angle_beta 90.00
_cell_angle_gamma 90.00
loop_
_symmetry_equiv_pos_as_xyz
'x,y,z'
loop_
_atom_site_label
_atom_site_type_symbol
_atom_site_fract_x
_atom_site_fract_y
_atom_site_fract_z
Rb1 Rb 0.204 0.250 0.206
Rb2 Rb 0.296 0.750 0.706
Rb3 Rb 0.704 0.250 0.294
Rb4 Rb 0.796 0.750 0.794
As1 As 0.022 0.250 0.550
As2 As 0.478 0.750 0.050
As3 As 0.522 0.250 0.950
As4 As 0.978 0.750 0.450
H1 H 0.157 0.750 0.404
H2 H 0.343 0.250 0.904
H3 H 0.657 0.750 0.096
H4 H 0.843 0.250 0.596
```

RbAsH | PBE | optimized geometry

Values from the calculation:
Magnetic moment: 0.000 μB per cell
D(E_F): 0.41 states/eV/cell
Relative energy among the computed polymorphs: 1.05 kcal/mol of atoms
E_tot: -19.371 eV for the cell shown

The structure in CIF format:
```
data_RbAsH
_chemical_formula_sum 'Rb2 As2 H2'
_symmetry_space_group_name_H-M 'P 1'
_symmetry_Int_Tables_number 1
_cell_length_a 4.432
_cell_length_b 5.167
_cell_length_c 7.422
_cell_angle_alpha 89.80
_cell_angle_beta 74.12
_cell_angle_gamma 89.89
loop_
_symmetry_equiv_pos_as_xyz
'x,y,z'
loop_
_atom_site_label
_atom_site_type_symbol
_atom_site_fract_x
_atom_site_fract_y
_atom_site_fract_z
Rb1 Rb 0.000 0.000 0.000
Rb2 Rb 0.221 0.999 0.505
As1 As 0.603 0.498 0.716
As2 As 0.797 0.499 0.359
H1 H 0.458 0.503 0.336
H2 H 0.946 0.506 0.734
```

RbAs2H | PBE | optimized geometry

Values from the calculation:
Magnetic moment: 0.000 μB per cell
D(E_F): 3.23 states/eV/cell
Relative energy among the computed polymorphs: 21.85 kcal/mol of atoms
E_tot: -9.204 eV for the cell shown

The structure in CIF format:
```
data_RbAs2H
_chemical_formula_sum 'Rb1 As2 H1'
_symmetry_space_group_name_H-M 'P 1'
_symmetry_Int_Tables_number 1
_cell_length_a 5.083
_cell_length_b 5.083
_cell_length_c 5.083
_cell_angle_alpha 60.00
_cell_angle_beta 60.00
_cell_angle_gamma 60.00
loop_
_symmetry_equiv_pos_as_xyz
'x,y,z'
loop_
_atom_site_label
_atom_site_type_symbol
_atom_site_fract_x
_atom_site_fract_y
_atom_site_fract_z
Rb1 Rb 0.000 0.000 0.000
As1 As 0.250 0.250 0.250
As2 As 0.750 0.750 0.750
H1 H 0.500 0.500 0.500
```

Rb7AsH12 | PBE | optimized geometry

Values from the calculation:
Magnetic moment: 0.000 μB per cell
D(E_F): 0.00 states/eV/cell
E_tot: -51.704 eV for the cell shown

The structure in CIF format:
```
data_Rb7AsH12
_chemical_formula_sum 'Rb7 As1 H12'
_symmetry_space_group_name_H-M 'P 1'
_symmetry_Int_Tables_number 1
_cell_length_a 7.629
_cell_length_b 7.629
_cell_length_c 7.629
_cell_angle_alpha 99.24
_cell_angle_beta 99.24
_cell_angle_gamma 99.24
loop_
_symmetry_equiv_pos_as_xyz
'x,y,z'
loop_
_atom_site_label
_atom_site_type_symbol
_atom_site_fract_x
_atom_site_fract_y
_atom_site_fract_z
Rb1 Rb 0.000 0.000 0.000
Rb2 Rb 0.087 0.584 0.290
Rb3 Rb 0.290 0.087 0.584
Rb4 Rb 0.416 0.710 0.913
Rb5 Rb 0.584 0.290 0.087
Rb6 Rb 0.710 0.913 0.416
Rb7 Rb 0.913 0.416 0.710
As1 As 0.500 0.500 0.500
H1 H 0.083 0.778 0.666
H2 H 0.222 0.334 0.917
H3 H 0.293 0.430 0.524
H4 H 0.334 0.917 0.222
H5 H 0.430 0.524 0.293
H6 H 0.476 0.707 0.570
H7 H 0.524 0.293 0.430
H8 H 0.570 0.476 0.707
H9 H 0.666 0.083 0.778
H10 H 0.707 0.570 0.476
H11 H 0.778 0.666 0.083
H12 H 0.917 0.222 0.334
```

Rb2AsH4 | PBE | optimized geometry

Values from the calculation:
Magnetic moment: 0.000 μB per cell
D(E_F): 1.48 states/eV/cell
Relative energy among the computed polymorphs: 0.00 kcal/mol of atoms
E_tot: -19.679 eV for the cell shown

The structure in CIF format:
```
data_Rb2AsH4
_chemical_formula_sum 'Rb2 As1 H4'
_symmetry_space_group_name_H-M 'P 1'
_symmetry_Int_Tables_number 1
_cell_length_a 5.921
_cell_length_b 5.921
_cell_length_c 5.921
_cell_angle_alpha 122.10
_cell_angle_beta 122.10
_cell_angle_gamma 86.40
loop_
_symmetry_equiv_pos_as_xyz
'x,y,z'
loop_
_atom_site_label
_atom_site_type_symbol
_atom_site_fract_x
_atom_site_fract_y
_atom_site_fract_z
Rb1 Rb 0.250 0.750 0.500
Rb2 Rb 0.750 0.250 0.500
As1 As 0.000 0.000 0.000
H1 H 0.213 0.213 0.427
H2 H 0.213 0.787 0.000
H3 H 0.787 0.213 0.000
H4 H 0.787 0.787 0.573
```

RbAsH | PBE | optimized geometry

Values from the calculation:
Magnetic moment: 0.000 μB per cell
D(E_F): 0.04 states/eV/cell
Relative energy among the computed polymorphs: 0.26 kcal/mol of atoms
E_tot: -19.578 eV for the cell shown

The structure in CIF format:
```
data_RbAsH
_chemical_formula_sum 'Rb2 As2 H2'
_symmetry_space_group_name_H-M 'P 1'
_symmetry_Int_Tables_number 1
_cell_length_a 4.838
_cell_length_b 5.466
_cell_length_c 6.656
_cell_angle_alpha 65.89
_cell_angle_beta 88.29
_cell_angle_gamma 89.97
loop_
_symmetry_equiv_pos_as_xyz
'x,y,z'
loop_
_atom_site_label
_atom_site_type_symbol
_atom_site_fract_x
_atom_site_fract_y
_atom_site_fract_z
Rb1 Rb 0.221 0.127 0.244
Rb2 Rb 0.779 0.873 0.756
As1 As 0.318 0.424 0.654
As2 As 0.682 0.576 0.346
H1 H 0.451 0.662 0.171
H2 H 0.549 0.338 0.829
```